(1)
# BaSrRe2, relaxed, DFT GGA-PBEsol
# **Formation energy from the elements**: 1.6123 eV/atom
# **DOS(E_F)**: 0.939 states/eV/atom
data_BaSrRe2
_chemical_formula_sum 'Ba3 Sr3 Re6'
_cell_length_a 2.9725
_cell_length_b 2.9725
_cell_length_c 33.8516
_cell_angle_alpha 90.00
_cell_angle_beta 90.00
_cell_angle_gamma 120.00
_space_group_name_H-M_alt 'R -3 m'
_space_group_IT_number 166
_space_group_name_Hall '-R 3 2"'
loop_
_atom_site_label
_atom_site_fract_x
_atom_site_fract_y
_atom_site_fract_z
_atom_site_occupancy
Ba1 0.0000 0.0000 0.0000 1
Sr1 0.0000 0.0000 0.5000 1
Re1 0.0000 0.0000 0.2463 1

---

(2)
# BaSr2Re, relaxed, DFT GGA-PBEsol
# **Formation energy from the elements**: 1.0311 eV/atom
# **DOS(E_F)**: 1.474 states/eV/atom
data_BaSr2Re
_chemical_formula_sum 'Ba4 Sr8 Re4'
_cell_length_a 7.8084
_cell_length_b 7.8084
_cell_length_c 7.8084
_cell_angle_alpha 90.00
_cell_angle_beta 90.00
_cell_angle_gamma 90.00
_space_group_name_H-M_alt 'F -4 3 m'
_space_group_IT_number 216
_space_group_name_Hall 'F -4 2 3'
loop_
_atom_site_label
_atom_site_fract_x
_atom_site_fract_y
_atom_site_fract_z
_atom_site_occupancy
Ba1 0.0000 0.0000 0.0000 1
Sr1 0.0000 0.0000 0.5000 1
Sr2 0.2500 0.2500 0.2500 1
Re1 0.2500 0.2500 0.7500 1